[1]
The following is a SCAN calculation of a crystal of Eu5Ge3 relaxed with PBEsol, from Alexandria.

The calculation puts the raw total energy at -331.5 eV per formula unit.

The structure belongs to space group I4/mcm (No. 140); the cell edges are 7.759, 7.759 and 14.481 Å and the angles 90.00°, 90.00° and 90.00°. The asymmetric unit holds Eu at (0.000, 0.000, 0.000), Eu at (0.175, 0.325, 0.147), Ge at (0.000, 0.000, 0.250) and Ge at (0.116, 0.384, 0.500).

[2]
The following is a SCAN calculation of a crystal of EuGe2 relaxed with PBEsol, from Alexandria.

The calculation puts the raw total energy at -93.7 eV per formula unit.

The structure belongs to space group P-3m1 (No. 164); the cell edges are 4.1325, 4.1325 and 4.5630 Å and the angles 90.00°, 90.00° and 120.00°. The asymmetric unit holds Eu at (0.0000, 0.0000, 0.0000) and Ge at (0.3333, 0.6667, 0.4018).

[3]
The following is a SCAN calculation of a crystal of EuGe2Ir relaxed with PBEsol, from Alexandria.

The calculation puts the raw total energy at -166.1 eV per formula unit.

The structure belongs to space group Cmcm (No. 63); the cell edges are 4.358, 17.259 and 4.257 Å and the angles 90.00°, 90.00° and 90.00°. The asymmetric unit holds Eu at (0.000, 0.107, 0.250), Ge at (0.000, 0.249, 0.750), Ge at (0.000, 0.460, 0.250) and Ir at (0.000, 0.321, 0.250).

[4]
The following is a SCAN calculation of a crystal of Eu3Ge4Ir4 relaxed with PBEsol, from Alexandria.

The calculation puts the raw total energy at -531.0 eV per formula unit.

The structure belongs to space group I-43m (No. 217); the cell edges are 7.604, 7.604 and 7.604 Å and the angles 90.00°, 90.00° and 90.00°. The asymmetric unit holds Eu at (0.000, 0.000, 0.500), Ge at (0.189, 0.189, 0.811) and Ir at (0.132, 0.132, 0.132).

[5]
The following is a SCAN calculation of a crystal of EuGe3Ir relaxed with PBEsol, from Alexandria.

The calculation puts the raw total energy at -185.7 eV per formula unit.

The structure belongs to space group I4mm (No. 107); the cell edges are 4.390, 4.390 and 10.001 Å and the angles 90.00°, 90.00° and 90.00°. The asymmetric unit holds Eu at (0.000, 0.000, 0.000), Ge at (0.000, 0.000, 0.584), Ge at (0.000, 0.500, 0.241) and Ir at (0.000, 0.000, 0.346).

[6]
The following is a SCAN calculation of a crystal of NaEuGeO4 relaxed with PBEsol, from Alexandria.

The calculation puts the raw total energy at -118.4 eV per formula unit.

The structure belongs to space group Pnma (No. 62); the cell edges are 11.601, 6.540 and 5.301 Å and the angles 90.00°, 90.00° and 90.00°. The asymmetric unit holds Na at (0.000, 0.000, 0.000), Eu at (0.223, 0.250, 0.499), Ge at (0.094, 0.750, 0.557), O at (0.046, 0.250, 0.318), O at (0.106, 0.750, 0.231) and O at (0.169, 0.544, 0.710).

[7]
The following is a SCAN calculation of a crystal of Na3Eu2Ge2Se6 relaxed with PBEsol, from Alexandria.

The calculation puts the raw total energy at -294.7 eV per formula unit.

The structure belongs to space group C2/m (No. 12); the cell edges are 7.185, 12.435 and 7.814 Å and the angles 90.00°, 107.82° and 90.00°. The asymmetric unit holds Na at (0.000, 0.000, 0.000), Na at (0.000, 0.328, 0.000), Eu at (0.000, 0.166, 0.500), Ge at (0.054, 0.500, 0.666), Se at (0.249, 0.000, 0.752) and Se at (0.249, 0.333, 0.748).

[8]
The following is a SCAN calculation of a crystal of EuNiGe2 relaxed with PBEsol, from Alexandria.

The calculation puts the raw total energy at -110.8 eV per formula unit.

The structure belongs to space group Cmcm (No. 63); the cell edges are 4.209, 16.674 and 4.137 Å and the angles 90.00°, 90.00° and 90.00°. The asymmetric unit holds Eu at (0.000, 0.108, 0.250), Ni at (0.000, 0.319, 0.250), Ge at (0.000, 0.250, 0.750) and Ge at (0.000, 0.457, 0.250).

Number 1: ρ 7.450 g/cm³, total moment 35.151 μB per formula unit. Number 2: ρ 7.314 g/cm³, total moment 7.007 μB per formula unit. Number 3: ρ 10.154 g/cm³, total moment 6.931 μB per formula unit. Number 4: ρ 11.447 g/cm³, total moment 20.482 μB per formula unit. Number 5: ρ 9.686 g/cm³, total moment 6.825 μB per formula unit. Number 6: ρ 5.146 g/cm³, total moment 6.000 μB per formula unit. Number 7: ρ 4.956 g/cm³, total moment 13.622 μB per formula unit. Number 8: ρ 8.142 g/cm³, total moment 6.900 μB per formula unit.